1.
## Tb2Ni9Rh (PBE)

Data for an optimized crystal structure of Tb2Ni9Rh.

Values from the calculation:
space group	No. 166
energy of formation	-141	meV per atom
final energy	-70.33	eV per cell

abc: 8.4568 8.4568 8.4568
angles: 33.70 33.70 33.70
Last column: nearest neighbours and their distance in Å.
Sites, in units of the cell vectors:
Tb 0.1324 0.1324 0.1324  9 Ni 2.74-2.95
Tb 0.8676 0.8676 0.8676  9 Ni 2.74-2.95
Ni 0.0801 0.5814 0.5814  7 Ni 2.39-2.49
Ni 0.3331 0.3331 0.3331  6 Ni 2.39-2.40
Ni 0.4186 0.4186 0.9199  7 Ni 2.39-2.49
Ni 0.4186 0.9199 0.4186  7 Ni 2.39-2.49
Ni 0.5000 0.5000 0.5000  6 Ni 2.49
Ni 0.5814 0.0801 0.5814  7 Ni 2.39-2.49
Ni 0.5814 0.5814 0.0801  7 Ni 2.39-2.49
Ni 0.6669 0.6669 0.6669  6 Ni 2.39-2.40
Ni 0.9199 0.4186 0.4186  7 Ni 2.39-2.49
Rh 0.0000 0.0000 0.0000  18 Ni 2.83-3.12, 2 Tb 3.16

2.
## Tb2NiRh3 (PBE)

Data for an optimized crystal structure of Tb2NiRh3.

Values from the calculation:
space group	No. 194
energy of formation	-635	meV per atom
final energy	-81.81	eV per cell

abc: 5.3873 5.3873 8.3720
angles: 90.00 90.00 120.00
Last column: nearest neighbours and their distance in Å.
Sites, in units of the cell vectors:
Tb 0.3333 0.6667 0.0632  9 Rh 3.05-3.11, 4 Tb 3.13-3.29, 3 Ni 3.16
Tb 0.3333 0.6667 0.4368  9 Rh 3.05-3.11, 4 Tb 3.13-3.29, 3 Ni 3.16
Tb 0.6667 0.3333 0.5632  9 Rh 3.05-3.11, 4 Tb 3.13-3.29, 3 Ni 3.16
Tb 0.6667 0.3333 0.9368  9 Rh 3.05-3.11, 4 Tb 3.13-3.29, 3 Ni 3.16
Ni 0.0000 0.0000 0.0000  6 Rh 2.61
Ni 0.0000 0.0000 0.5000  6 Rh 2.61
Rh 0.1664 0.3327 0.7500  2 Ni 2.61, 4 Rh 2.69-2.70
Rh 0.1664 0.8336 0.7500  2 Ni 2.61, 4 Rh 2.69-2.70
Rh 0.3327 0.1664 0.2500  2 Ni 2.61, 4 Rh 2.69-2.70
Rh 0.6673 0.8336 0.7500  2 Ni 2.61, 4 Rh 2.69-2.70
Rh 0.8336 0.1664 0.2500  2 Ni 2.61, 4 Rh 2.69-2.70
Rh 0.8336 0.6673 0.2500  2 Ni 2.61, 4 Rh 2.69-2.70